Na2ZnP2O7: optimized geometry, PBE.

Cell and atoms, written as POSCAR:
```
Na2ZnP2O7
1.0
7.792 0.000 0.000
0.000 7.817 0.000
-7.720 0.000 10.380
Na Zn P O
8 4 8 28
Direct
0.139 0.139 0.000
0.139 0.361 0.500
0.335 0.720 0.012
0.335 0.780 0.512
0.665 0.220 0.488
0.665 0.280 0.988
0.861 0.639 0.500
0.861 0.861 0.000
0.260 0.525 0.244
0.260 0.975 0.744
0.740 0.025 0.256
0.740 0.475 0.756
0.136 0.154 0.278
0.136 0.346 0.778
0.426 0.616 0.796
0.426 0.884 0.296
0.574 0.116 0.704
0.574 0.384 0.204
0.864 0.654 0.222
0.864 0.846 0.722
0.005 0.642 0.368
0.005 0.858 0.868
0.018 0.139 0.340
0.018 0.361 0.840
0.286 0.188 0.834
0.286 0.312 0.334
0.293 0.617 0.651
0.293 0.883 0.151
0.299 0.510 0.842
0.299 0.990 0.342
0.355 0.024 0.635
0.355 0.476 0.135
0.462 0.709 0.362
0.462 0.791 0.862
0.538 0.209 0.138
0.538 0.291 0.638
0.645 0.524 0.865
0.645 0.976 0.365
0.701 0.010 0.658
0.701 0.490 0.158
0.707 0.117 0.849
0.707 0.383 0.349
0.714 0.688 0.666
0.714 0.812 0.166
0.982 0.639 0.160
0.982 0.861 0.660
0.995 0.142 0.132
0.995 0.358 0.632
```

Results
- theoretical density (kg/m3) = 2998
- V (Å³/cell) = 632.3
- energy relative to the elements, uncorrected (eV per atom) = -2.148


NaZn2PO4: optimized geometry, PBE.

Cell and atoms, written as POSCAR:
```
NaZn2PO4
1.0
0.000 4.306 3.111
3.252 0.000 3.111
3.252 4.306 0.000
Na Zn P O
1 2 1 4
Direct
0.000 0.000 0.000
0.252 0.252 0.248
0.752 0.752 0.748
0.498 0.498 0.502
0.138 0.524 0.862
0.275 0.741 0.259
0.524 0.138 0.476
0.741 0.275 0.725
```

Results
- theoretical density (kg/m3) = 4741
- V (Å³/cell) = 87.1
- energy relative to the elements, uncorrected (eV per atom) = -1.378


NaZnPO2: optimized geometry, PBE.

Cell and atoms, written as POSCAR:
```
NaZnPO2
1.0
4.053 0.000 0.000
0.000 4.053 0.000
0.000 0.000 4.741
Na Zn P O
1 1 1 2
Direct
0.000 0.000 0.000
0.500 0.500 0.500
0.500 0.500 0.000
0.000 0.500 0.500
0.500 0.000 0.500
```

Results
- theoretical density (kg/m3) = 3227
- V (Å³/cell) = 77.9
- energy relative to the elements, uncorrected (eV per atom) = 0.056
- excess energy over the best structure of this formula in the dataset (eV per atom) = 0.000


Na3ZrP2O8: optimized geometry, PBE.

Cell and atoms, written as POSCAR:
```
Na3ZrP2O8
1.0
5.483 0.000 0.000
-2.742 4.749 0.000
0.000 0.000 7.027
Na Zr P O
3 1 2 8
Direct
0.000 0.000 0.000
0.333 0.667 0.702
0.667 0.333 0.298
0.000 0.000 0.500
0.333 0.667 0.225
0.667 0.333 0.775
0.180 0.361 0.309
0.180 0.820 0.309
0.333 0.667 0.011
0.361 0.180 0.691
0.639 0.820 0.309
0.667 0.333 0.989
0.820 0.180 0.691
0.820 0.639 0.691
```

Results
- theoretical density (kg/m3) = 3177
- V (Å³/cell) = 183.0
- energy relative to the elements, uncorrected (eV per atom) = -2.300


NaZrPO5: optimized geometry, PBE.

Cell and atoms, written as POSCAR:
```
NaZrPO5
1.0
3.561 -4.407 0.000
3.561 4.407 0.000
-3.293 0.000 6.840
Na Zr P O
2 2 2 10
Direct
0.169 0.831 0.750
0.831 0.169 0.250
0.500 0.500 0.000
0.500 0.500 0.500
0.173 0.827 0.250
0.827 0.173 0.750
0.110 0.242 0.888
0.195 0.648 0.373
0.242 0.110 0.388
0.352 0.805 0.127
0.421 0.579 0.750
0.579 0.421 0.250
0.648 0.195 0.873
0.758 0.890 0.612
0.805 0.352 0.627
0.890 0.758 0.112
```

Results
- theoretical density (kg/m3) = 3483
- V (Å³/cell) = 214.7
- energy relative to the elements, uncorrected (eV per atom) = -2.673


NaZr2P3O12: optimized geometry, PBE.

Cell and atoms, written as POSCAR:
```
NaZr2P3O12
1.0
4.469 2.580 7.672
-4.469 2.580 7.672
0.000 -5.160 7.672
Na Zr P O
2 4 6 24
Direct
0.000 0.000 0.000
0.500 0.500 0.500
0.145 0.145 0.145
0.355 0.355 0.355
0.645 0.645 0.645
0.855 0.855 0.855
0.041 0.750 0.459
0.250 0.541 0.959
0.459 0.041 0.750
0.541 0.959 0.250
0.750 0.459 0.041
0.959 0.250 0.541
0.004 0.791 0.619
0.063 0.916 0.280
0.084 0.720 0.937
0.119 0.291 0.504
0.209 0.381 0.996
0.220 0.584 0.437
0.280 0.063 0.916
0.291 0.504 0.119
0.381 0.996 0.209
0.416 0.563 0.780
0.437 0.220 0.584
0.496 0.881 0.709
0.504 0.119 0.291
0.563 0.780 0.416
0.584 0.437 0.220
0.619 0.004 0.791
0.709 0.496 0.881
0.720 0.937 0.084
0.780 0.416 0.563
0.791 0.619 0.004
0.881 0.709 0.496
0.916 0.280 0.063
0.937 0.084 0.720
0.996 0.209 0.381
```

Results
- theoretical density (kg/m3) = 3068
- V (Å³/cell) = 530.8
- energy relative to the elements, uncorrected (eV per atom) = -2.703


Question: What is the theoretical density in the first record?
Answer: 2998 kg/m3


Question: Which of these has the lowest theoretical density?
Answer: Na2ZnP2O7


Question: Which value of theoretical density does entry 1 give?
Answer: 2998 kg/m3


Please write out number 4 again, unchanged.
Na3ZrP2O8: optimized geometry, PBE.

Cell and atoms, written as POSCAR:
```
Na3ZrP2O8
1.0
5.483 0.000 0.000
-2.742 4.749 0.000
0.000 0.000 7.027
Na Zr P O
3 1 2 8
Direct
0.000 0.000 0.000
0.333 0.667 0.702
0.667 0.333 0.298
0.000 0.000 0.500
0.333 0.667 0.225
0.667 0.333 0.775
0.180 0.361 0.309
0.180 0.820 0.309
0.333 0.667 0.011
0.361 0.180 0.691
0.639 0.820 0.309
0.667 0.333 0.989
0.820 0.180 0.691
0.820 0.639 0.691
```

Results
- theoretical density (kg/m3) = 3177
- V (Å³/cell) = 183.0
- energy relative to the elements, uncorrected (eV per atom) = -2.300